Material: Pa2Zn15Tc2
Method: DFT, GGA-PBE
State: optimized geometry

Cell: 9.2707 9.2707 12.4346 Å, 90.00 90.00 120.00°
Space group R-3m (No. 166, hexagonal axes)
Symmetry-distinct sites (fractional):
Pa1 0.0000 0.0000 0.1773
Zn1 0.0000 0.2777 0.5000
Zn2 0.0000 0.5000 0.0000
Zn3 0.0159 0.5079 0.6460
Tc1 0.0000 0.0000 0.3665

Computed properties:
The energy of formation is -121 meV per atom.



Material: ScCrH2
Method: DFT, GGA-PBE
State: optimized geometry

Cell: 4.734 4.734 6.642 Å, 90.00 90.00 90.00°
Space group I-42d (No. 122)
Symmetry-distinct sites (fractional):
Sc1 0.000 0.000 0.000
Cr1 0.000 0.000 0.500
H1 0.197 0.750 0.625

Computed properties:
The polymorph energy (0 for the lowest one) comes out at 0.000 eV/f.u.



Material: U4Tc4Sb
Method: DFT, GGA-PBE
State: optimized geometry

Cell: 7.129 7.129 7.741 Å, 90.00 90.00 90.00°
Space group P4_2/nmc (No. 137, origin choice 2)
Symmetry-distinct sites (fractional):
U1 0.010 0.750 0.107
Tc1 0.040 0.250 0.505
Sb1 0.250 0.750 0.750

Computed properties:
The value obtained for the uncorrected formation energy is 341 meV per atom.



Material: YbB6N6
Method: DFT, GGA-PBE
State: optimized geometry

Cell: 4.625 4.625 4.625 Å, 90.00 90.00 90.00°
Space group Pm-3 (No. 200)
Symmetry-distinct sites (fractional):
Yb1 0.000 0.000 0.000
B1 0.000 0.240 0.500
N1 0.000 0.500 0.249

Computed properties:
The value obtained for the uncorrected formation energy is -309 meV per atom.



Material: CeYSi
Method: DFT, GGA-PBE
State: optimized geometry

Cell: 16.865 4.156 4.156 Å, 90.00 90.00 90.00°
Space group Pnma (No. 62)
Symmetry-distinct sites (fractional):
Ce1 0.000 0.250 0.243
Y1 0.183 0.250 0.751
Si1 0.138 0.750 0.251

Computed properties:
The polymorph energy (0 for the lowest one) comes out at 0.000 eV/f.u. The value obtained for the uncorrected formation energy is -570 meV per atom.



Material: HgMoSe2
Method: DFT, GGA-PBE
State: optimized geometry

Cell: 2.984 5.220 11.915 Å, 90.00 90.00 90.00°
Space group Immm (No. 71)
Symmetry-distinct sites (fractional):
Hg1 0.000 0.000 0.000
Mo1 0.000 0.000 0.500
Se1 0.000 0.500 0.171

Computed properties:
The value obtained for the uncorrected formation energy is 51 meV per atom.



no.,E_tot (eV per cell)
1,-183.4
2,-92.1
3,-175.3
4,-95.6
5,-78.1
6,-35.8